No. 1
A plane-wave DFT calculation with PBE was carried out for crystalline K2TiAlP3O12 at its relaxed geometry.

```
K2TiAlP3O12
1.0
9.849 0.000 0.000
0.000 9.849 0.000
0.000 0.000 9.849
K Ti Al P O
8 4 4 12 48
Direct
0.043 0.043 0.043
0.181 0.319 0.681
0.319 0.681 0.181
0.457 0.957 0.543
0.543 0.457 0.957
0.681 0.181 0.319
0.819 0.819 0.819
0.957 0.543 0.457
0.164 0.664 0.836
0.336 0.336 0.336
0.664 0.836 0.164
0.836 0.164 0.664
0.108 0.892 0.392
0.392 0.108 0.892
0.608 0.608 0.608
0.892 0.392 0.108
0.020 0.204 0.370
0.130 0.980 0.704
0.204 0.370 0.020
0.296 0.630 0.520
0.370 0.020 0.204
0.480 0.796 0.870
0.520 0.296 0.630
0.630 0.520 0.296
0.704 0.130 0.980
0.796 0.870 0.480
0.870 0.480 0.796
0.980 0.704 0.130
0.007 0.557 0.773
0.018 0.053 0.328
0.051 0.793 0.235
0.053 0.328 0.018
0.057 0.727 0.993
0.104 0.832 0.752
0.168 0.252 0.396
0.172 0.982 0.553
0.207 0.735 0.449
0.227 0.507 0.943
0.235 0.051 0.793
0.248 0.604 0.668
0.252 0.396 0.168
0.265 0.949 0.293
0.273 0.493 0.443
0.293 0.265 0.949
0.328 0.018 0.053
0.332 0.748 0.896
0.396 0.168 0.252
0.443 0.273 0.493
0.447 0.672 0.518
0.449 0.207 0.735
0.482 0.947 0.828
0.493 0.443 0.273
0.507 0.943 0.227
0.518 0.447 0.672
0.551 0.707 0.765
0.553 0.172 0.982
0.557 0.773 0.007
0.604 0.668 0.248
0.668 0.248 0.604
0.672 0.518 0.447
0.707 0.765 0.551
0.727 0.993 0.057
0.735 0.449 0.207
0.748 0.896 0.332
0.752 0.104 0.832
0.765 0.551 0.707
0.773 0.007 0.557
0.793 0.235 0.051
0.828 0.482 0.947
0.832 0.752 0.104
0.896 0.332 0.748
0.943 0.227 0.507
0.947 0.828 0.482
0.949 0.293 0.265
0.982 0.553 0.172
0.993 0.057 0.727
```

Computed properties:
E_form (uncorrected)	-2548	meV per atom



No. 2
A plane-wave DFT calculation with PBE was carried out for crystalline Ce5Os2Ru at its relaxed geometry.

```
Ce5Os2Ru
1.0
2.749 -6.239 0.000
2.749 6.239 0.000
0.000 0.000 13.572
Ce Os Ru
10 4 2
Direct
0.049 0.951 0.622
0.049 0.951 0.878
0.262 0.738 0.250
0.338 0.662 0.566
0.338 0.662 0.934
0.662 0.338 0.066
0.662 0.338 0.434
0.738 0.262 0.750
0.951 0.049 0.122
0.951 0.049 0.378
0.151 0.849 0.063
0.151 0.849 0.437
0.849 0.151 0.563
0.849 0.151 0.937
0.203 0.797 0.750
0.797 0.203 0.250
```

Computed properties:
formation energy	-69	meV per atom